No. 1
# Li4TbPd2 (PBE, relaxed)
# **ΔH_f (0 K)**: -9.242 kcal/mol of atoms
# **Uncorrected energy**: -3.639 eV/atom
# **Energy relative to the lowest polymorph listed for this composition**: 0.03 eV per formula unit
data_Li4TbPd2
_symmetry_space_group_name_H-M 'P 1'
_symmetry_Int_Tables_number 1
_cell_length_a 3.806
_cell_length_b 16.996
_cell_length_c 3.953
_cell_angle_alpha 90.00
_cell_angle_beta 90.00
_cell_angle_gamma 90.00
loop_
_symmetry_equiv_pos_as_xyz
'x,y,z'
loop_
_atom_site_label
_atom_site_fract_x
_atom_site_fract_y
_atom_site_fract_z
Li1 0.000 0.175 0.000
Li2 0.000 0.316 0.500
Li3 0.000 0.684 0.500
Li4 0.000 0.825 0.000
Li5 0.500 0.184 0.500
Li6 0.500 0.325 0.000
Li7 0.500 0.675 0.000
Li8 0.500 0.816 0.500
Tb1 0.000 0.500 0.000
Tb2 0.500 0.000 0.000
Pd1 0.000 0.079 0.500
Pd2 0.000 0.921 0.500
Pd3 0.500 0.421 0.500
Pd4 0.500 0.579 0.500


No. 2
# KPuCoS3 (PBE, relaxed)
# **Uncorrected energy**: -7.002 eV/atom
# **Energy relative to the elements, uncorrected**: -1183 meV per atom
data_KPuCoS3
_symmetry_space_group_name_H-M 'P 1'
_symmetry_Int_Tables_number 1
_cell_length_a 8.793
_cell_length_b 3.913
_cell_length_c 9.048
_cell_angle_alpha 90.00
_cell_angle_beta 107.45
_cell_angle_gamma 90.00
loop_
_symmetry_equiv_pos_as_xyz
'x,y,z'
loop_
_atom_site_label
_atom_site_fract_x
_atom_site_fract_y
_atom_site_fract_z
K1 0.195 0.250 0.231
K2 0.805 0.750 0.769
Pu1 0.325 0.750 0.840
Pu2 0.675 0.250 0.160
Co1 0.080 0.250 0.585
Co2 0.920 0.750 0.415
S1 0.119 0.250 0.847
S2 0.180 0.750 0.528
S3 0.458 0.750 0.156
S4 0.542 0.250 0.844
S5 0.820 0.250 0.472
S6 0.881 0.750 0.153


No. 3
# FeTcN3 (PBE, relaxed)
# **Uncorrected energy**: -7.498 eV/atom
# **Energy relative to the elements, uncorrected**: 1263 meV per atom
data_FeTcN3
_symmetry_space_group_name_H-M 'P 1'
_symmetry_Int_Tables_number 1
_cell_length_a 3.592
_cell_length_b 3.592
_cell_length_c 3.592
_cell_angle_alpha 90.00
_cell_angle_beta 90.00
_cell_angle_gamma 90.00
loop_
_symmetry_equiv_pos_as_xyz
'x,y,z'
loop_
_atom_site_label
_atom_site_fract_x
_atom_site_fract_y
_atom_site_fract_z
Fe1 0.000 0.000 0.000
Tc1 0.500 0.500 0.500
N1 0.000 0.000 0.500
N2 0.000 0.500 0.000
N3 0.500 0.000 0.000


No. 4
# ZnOsBr2 (PBE, relaxed)
# **Uncorrected energy**: -2.868 eV/atom
# **Energy relative to the lowest polymorph listed for this composition**: 3.64 eV per formula unit
# **Energy relative to the elements, uncorrected**: 1095 meV per atom
data_ZnOsBr2
_symmetry_space_group_name_H-M 'P 1'
_symmetry_Int_Tables_number 1
_cell_length_a 3.729
_cell_length_b 3.729
_cell_length_c 13.039
_cell_angle_alpha 90.00
_cell_angle_beta 90.00
_cell_angle_gamma 90.00
loop_
_symmetry_equiv_pos_as_xyz
'x,y,z'
loop_
_atom_site_label
_atom_site_fract_x
_atom_site_fract_y
_atom_site_fract_z
Zn1 0.000 0.000 0.000
Zn2 0.500 0.500 0.500
Os1 0.000 0.500 0.250
Os2 0.500 0.000 0.750
Br1 0.000 0.000 0.500
Br2 0.000 0.500 0.750
Br3 0.500 0.000 0.250
Br4 0.500 0.500 0.000


No. 5
# Al3Zn2Ag3 (PBE, relaxed)
# **ΔH_f (0 K)**: -0.156 kcal/mol of atoms
# **Uncorrected energy**: -2.798 eV/atom
data_Al3Zn2Ag3
_symmetry_space_group_name_H-M 'P 1'
_symmetry_Int_Tables_number 1
_cell_length_a 4.759
_cell_length_b 5.249
_cell_length_c 6.324
_cell_angle_alpha 105.07
_cell_angle_beta 103.27
_cell_angle_gamma 111.21
loop_
_symmetry_equiv_pos_as_xyz
'x,y,z'
loop_
_atom_site_label
_atom_site_fract_x
_atom_site_fract_y
_atom_site_fract_z
Al1 0.000 0.000 0.000
Al2 0.124 0.623 0.251
Al3 0.876 0.377 0.749
Zn1 0.249 0.249 0.500
Zn2 0.751 0.751 0.500
Ag1 0.372 0.874 0.741
Ag2 0.500 0.500 0.000
Ag3 0.628 0.126 0.259


No. 6
# Sm4AuS2Cl (PBE, relaxed)
# **Uncorrected energy**: -5.580 eV/atom
# **Energy relative to the elements, uncorrected**: -1548 meV per atom
data_Sm4AuS2Cl
_symmetry_space_group_name_H-M 'P 1'
_symmetry_Int_Tables_number 1
_cell_length_a 7.097
_cell_length_b 3.989
_cell_length_c 7.238
_cell_angle_alpha 90.00
_cell_angle_beta 108.26
_cell_angle_gamma 90.00
loop_
_symmetry_equiv_pos_as_xyz
'x,y,z'
loop_
_atom_site_label
_atom_site_fract_x
_atom_site_fract_y
_atom_site_fract_z
Sm1 0.236 0.000 0.226
Sm2 0.253 0.500 0.763
Sm3 0.747 0.500 0.237
Sm4 0.764 0.000 0.774
Au1 0.000 0.000 0.500
S1 0.000 0.500 0.000
S2 0.500 0.000 0.000
Cl1 0.500 0.500 0.500


No. 7
# NiBi2Pd (PBE, relaxed)
# **ΔH_f (0 K)**: -1.611 kcal/mol of atoms
# **Uncorrected energy**: -4.754 eV/atom
# **Energy relative to the lowest polymorph listed for this composition**: 0.00 eV per formula unit
data_NiBi2Pd
_symmetry_space_group_name_H-M 'P 1'
_symmetry_Int_Tables_number 1
_cell_length_a 6.633
_cell_length_b 3.808
_cell_length_c 13.294
_cell_angle_alpha 90.00
_cell_angle_beta 90.00
_cell_angle_gamma 90.00
loop_
_symmetry_equiv_pos_as_xyz
'x,y,z'
loop_
_atom_site_label
_atom_site_fract_x
_atom_site_fract_y
_atom_site_fract_z
Ni1 0.193 0.000 0.000
Ni2 0.193 0.500 0.500
Ni3 0.807 0.000 0.000
Ni4 0.807 0.500 0.500
Bi1 0.000 0.000 0.368
Bi2 0.000 0.000 0.620
Bi3 0.000 0.500 0.120
Bi4 0.000 0.500 0.868
Bi5 0.500 0.000 0.157
Bi6 0.500 0.000 0.439
Bi7 0.500 0.500 0.657
Bi8 0.500 0.500 0.939
Pd1 0.290 0.000 0.791
Pd2 0.290 0.500 0.291
Pd3 0.710 0.000 0.791
Pd4 0.710 0.500 0.291


No. 8
# Ac4CdCu (PBE, relaxed)
# **ΔH_f (0 K)**: 2.011 kcal/mol of atoms
# **Uncorrected energy**: -3.487 eV/atom
# **Energy relative to the lowest polymorph listed for this composition**: 1.15 eV per formula unit
data_Ac4CdCu
_symmetry_space_group_name_H-M 'P 1'
_symmetry_Int_Tables_number 1
_cell_length_a 5.435
_cell_length_b 5.434
_cell_length_c 7.870
_cell_angle_alpha 90.00
_cell_angle_beta 90.06
_cell_angle_gamma 90.00
loop_
_symmetry_equiv_pos_as_xyz
'x,y,z'
loop_
_atom_site_label
_atom_site_fract_x
_atom_site_fract_y
_atom_site_fract_z
Ac1 0.000 0.000 0.000
Ac2 0.001 0.000 0.534
Ac3 0.500 0.500 0.000
Ac4 0.501 0.500 0.534
Cd1 0.000 0.500 0.267
Cu1 0.500 0.000 0.767


No. 9
# Cs3Ho3PaTe8 (PBE, relaxed)
# **Uncorrected energy**: -4.675 eV/atom
# **Energy relative to the elements, uncorrected**: -1280 meV per atom
data_Cs3Ho3PaTe8
_symmetry_space_group_name_H-M 'P 1'
_symmetry_Int_Tables_number 1
_cell_length_a 10.465
_cell_length_b 10.465
_cell_length_c 10.465
_cell_angle_alpha 50.71
_cell_angle_beta 50.71
_cell_angle_gamma 50.71
loop_
_symmetry_equiv_pos_as_xyz
'x,y,z'
loop_
_atom_site_label
_atom_site_fract_x
_atom_site_fract_y
_atom_site_fract_z
Cs1 0.000 0.500 0.500
Cs2 0.500 0.000 0.500
Cs3 0.500 0.500 0.000
Ho1 0.000 0.000 0.500
Ho2 0.000 0.500 0.000
Ho3 0.500 0.000 0.000
Pa1 0.500 0.500 0.500
Te1 0.227 0.731 0.731
Te2 0.229 0.229 0.229
Te3 0.269 0.269 0.773
Te4 0.269 0.773 0.269
Te5 0.731 0.227 0.731
Te6 0.731 0.731 0.227
Te7 0.771 0.771 0.771
Te8 0.773 0.269 0.269


No. 10
# ThGeRh4 (PBE, relaxed)
# **ΔH_f (0 K)**: -11.904 kcal/mol of atoms
# **Uncorrected energy**: -7.423 eV/atom
# **Energy relative to the lowest polymorph listed for this composition**: 0.49 eV per formula unit
data_ThGeRh4
_symmetry_space_group_name_H-M 'P 1'
_symmetry_Int_Tables_number 1
_cell_length_a 12.633
_cell_length_b 12.633
_cell_length_c 4.105
_cell_angle_alpha 90.00
_cell_angle_beta 90.00
_cell_angle_gamma 161.09
loop_
_symmetry_equiv_pos_as_xyz
'x,y,z'
loop_
_atom_site_label
_atom_site_fract_x
_atom_site_fract_y
_atom_site_fract_z
Th1 0.192 0.808 0.000
Th2 0.808 0.192 0.000
Ge1 0.440 0.560 0.500
Ge2 0.560 0.440 0.500
Rh1 0.000 0.000 0.500
Rh2 0.115 0.885 0.500
Rh3 0.296 0.704 0.500
Rh4 0.384 0.616 0.000
Rh5 0.500 0.500 0.000
Rh6 0.616 0.384 0.000
Rh7 0.704 0.296 0.500
Rh8 0.885 0.115 0.500


Number 1: size of the total moment 0.0 μB/f.u.. Number 2: size of the total moment 2.9 μB/f.u.. Number 3: size of the total moment 0.0 μB/f.u.. Number 4: size of the total moment 2.1 μB/f.u.. Number 5: size of the total moment 0.0 μB/f.u.. Number 6: size of the total moment 0.0 μB/f.u.. Number 7: size of the total moment 0.0 μB/f.u.. Number 8: size of the total moment 0.0 μB/f.u.. Number 9: size of the total moment 1.0 μB/f.u.. Number 10: size of the total moment 0.0 μB/f.u..